(1)
The following is a PBE calculation of a relaxed Tb8CoRh2 crystal, from Alexandria.

## Properties
DOS at the Fermi energy = 11.0 states/eV per cell
SG = No. 8
formation energy from the elements = -6.6 kcal/mol of atoms

Geometry as CIF:
```
data_Tb8CoRh2
_chemical_formula_sum 'Tb8 Co1 Rh2'
_cell_length_a 6.132
_cell_length_b 7.474
_cell_length_c 7.474
_cell_angle_alpha 113.02
_cell_angle_beta 101.52
_cell_angle_gamma 101.52
_space_group_name_H-M_alt 'P 1'
_space_group_IT_number 1
_space_group_name_Hall 'P 1'
loop_
_atom_site_label
_atom_site_fract_x
_atom_site_fract_y
_atom_site_fract_z
Tb1 0.588 0.088 0.349
Tb2 0.988 0.197 0.800
Tb3 0.366 0.922 0.663
Tb4 0.366 0.663 0.922
Tb5 0.988 0.800 0.197
Tb6 0.172 0.353 0.353
Tb7 0.588 0.349 0.088
Tb8 0.800 0.648 0.648
Co1 0.176 0.998 0.998
Rh1 0.482 0.321 0.695
Rh2 0.482 0.695 0.321
```

=====

(2)
The following is a PBE calculation of a relaxed TbThCoRh crystal, from Alexandria.

## Properties
DOS at the Fermi energy = 3.2 states/eV per cell
SG = No. 216
formation energy from the elements = -10.3 kcal/mol of atoms

Geometry as CIF:
```
data_TbThCoRh
_chemical_formula_sum 'Tb1 Th1 Co1 Rh1'
_cell_length_a 4.905
_cell_length_b 4.905
_cell_length_c 4.905
_cell_angle_alpha 60.00
_cell_angle_beta 60.00
_cell_angle_gamma 60.00
_space_group_name_H-M_alt 'P 1'
_space_group_IT_number 1
_space_group_name_Hall 'P 1'
loop_
_atom_site_label
_atom_site_fract_x
_atom_site_fract_y
_atom_site_fract_z
Co1 0.500 0.500 0.500
Th1 0.750 0.750 0.750
Rh1 0.000 0.000 0.000
Tb1 0.250 0.250 0.250
```

=====

(3)
The following is a PBE calculation of a relaxed TbZrCoRh crystal, from Alexandria.

## Properties
DOS at the Fermi energy = 2.7 states/eV per cell
SG = No. 216
formation energy from the elements = -10.3 kcal/mol of atoms

Geometry as CIF:
```
data_TbZrCoRh
_chemical_formula_sum 'Tb1 Zr1 Co1 Rh1'
_cell_length_a 4.697
_cell_length_b 4.697
_cell_length_c 4.697
_cell_angle_alpha 60.00
_cell_angle_beta 60.00
_cell_angle_gamma 60.00
_space_group_name_H-M_alt 'P 1'
_space_group_IT_number 1
_space_group_name_Hall 'P 1'
loop_
_atom_site_label
_atom_site_fract_x
_atom_site_fract_y
_atom_site_fract_z
Co1 0.000 0.000 0.000
Tb1 0.750 0.750 0.750
Zr1 0.250 0.250 0.250
Rh1 0.500 0.500 0.500
```

=====

(4)
The following is a PBE calculation of a relaxed CoTcRh crystal, from Alexandria.

## Properties
DOS at the Fermi energy = 5.4 states/eV per cell
SG = No. 107
energy relative to the lowest polymorph listed for this composition = 176 meV/atom
formation energy from the elements = 4.0 kcal/mol of atoms

Geometry as CIF:
```
data_CoTcRh
_chemical_formula_sum 'Co1 Tc1 Rh1'
_cell_length_a 4.722
_cell_length_b 4.722
_cell_length_c 4.722
_cell_angle_alpha 141.71
_cell_angle_beta 141.71
_cell_angle_gamma 55.26
_space_group_name_H-M_alt 'P 1'
_space_group_IT_number 1
_space_group_name_Hall 'P 1'
loop_
_atom_site_label
_atom_site_fract_x
_atom_site_fract_y
_atom_site_fract_z
Tc1 0.652 0.652 0.000
Rh1 0.337 0.337 0.000
Co1 0.011 0.011 0.000
```